(1)
# AcSi2Pt PBE-GGA optimized geometry
# - crystal system = trigonal
# - final energy (eV/cell) = -24.5
data_AcSi2Pt
_chemical_formula_sum 'Ac1 Si2 Pt1'
_symmetry_space_group_name_H-M 'P 1'
_symmetry_Int_Tables_number 1
_cell_length_a 6.0968
_cell_length_b 6.0968
_cell_length_c 6.0968
_cell_angle_alpha 40.09
_cell_angle_beta 40.09
_cell_angle_gamma 40.09
loop_
_symmetry_equiv_pos_as_xyz
'x,y,z'
loop_
_atom_site_label
_atom_site_type_symbol
_atom_site_fract_x
_atom_site_fract_y
_atom_site_fract_z
Ac1 Ac 0.0000 0.0000 0.0000
Si1 Si 0.2099 0.2099 0.2099
Si2 Si 0.7901 0.7901 0.7901
Pt1 Pt 0.5000 0.5000 0.5000

(2)
# AcSmPt PBE-GGA optimized geometry
# - calculated formation energy (eV/atom) = -0.083
# - crystal system = cubic
data_AcSmPt
_chemical_formula_sum 'Ac1 Sm1 Pt1'
_symmetry_space_group_name_H-M 'P 1'
_symmetry_Int_Tables_number 1
_cell_length_a 4.9734
_cell_length_b 4.9734
_cell_length_c 4.9734
_cell_angle_alpha 60.00
_cell_angle_beta 60.00
_cell_angle_gamma 60.00
loop_
_symmetry_equiv_pos_as_xyz
'x,y,z'
loop_
_atom_site_label
_atom_site_type_symbol
_atom_site_fract_x
_atom_site_fract_y
_atom_site_fract_z
Ac1 Ac 0.0000 0.0000 0.0000
Sm1 Sm 0.2500 0.2500 0.2500
Pt1 Pt 0.5000 0.5000 0.5000

(3)
# Ac3Sn3Pt2 PBE-GGA optimized geometry
# - crystal system = orthorhombic
# - final energy (eV/cell) = -87.5
data_Ac3Sn3Pt2
_chemical_formula_sum 'Ac6 Sn6 Pt4'
_symmetry_space_group_name_H-M 'P 1'
_symmetry_Int_Tables_number 1
_cell_length_a 6.2866
_cell_length_b 6.2866
_cell_length_c 16.3076
_cell_angle_alpha 90.00
_cell_angle_beta 90.00
_cell_angle_gamma 135.10
loop_
_symmetry_equiv_pos_as_xyz
'x,y,z'
loop_
_atom_site_label
_atom_site_type_symbol
_atom_site_fract_x
_atom_site_fract_y
_atom_site_fract_z
Ac1 Ac 0.0891 0.9109 0.6086
Ac2 Ac 0.0891 0.9109 0.8914
Ac3 Ac 0.3696 0.6304 0.7500
Ac4 Ac 0.6304 0.3696 0.2500
Ac5 Ac 0.9109 0.0891 0.1086
Ac6 Ac 0.9109 0.0891 0.3914
Sn1 Sn 0.3325 0.6675 0.2500
Sn2 Sn 0.3711 0.6289 0.5344
Sn3 Sn 0.3711 0.6289 0.9656
Sn4 Sn 0.6289 0.3711 0.0344
Sn5 Sn 0.6289 0.3711 0.4656
Sn6 Sn 0.6675 0.3325 0.7500
Pt1 Pt 0.1926 0.8074 0.1071
Pt2 Pt 0.1926 0.8074 0.3929
Pt3 Pt 0.8074 0.1926 0.6071
Pt4 Pt 0.8074 0.1926 0.8929